w.
# Ac3Ni

An optimized crystal structure of Ac3Ni (PBE, the Alexandria database).

a b c (Å): 3.8904 3.9234 9.9217
angles (deg): 90.00 90.00 90.00
Last column: nearest neighbours and their distance in Å.
Atoms (fractional coordinates):
Ni 0.0000 0.0000 0.9899  6 Ac 2.97-3.01
Ac 0.0000 0.5000 0.4680  10 Ac 3.89-4.04
Ac 0.5000 0.5000 0.1113  4 Ni 3.01
Ac 0.5000 0.0000 0.7642  2 Ni 2.97

Output
Its density of states at the Fermi level is 3.9 states/eV/f.u.



x.
# Ac3Ni

An optimized crystal structure of Ac3Ni (PBE, the Alexandria database).

a b c (Å): 4.0138 6.8362 10.8094
angles (deg): 90.00 90.00 107.07
Last column: nearest neighbours and their distance in Å.
Atoms (fractional coordinates):
Ac 0.4022 0.8045 0.7500  2 Ni 3.03
Ac 0.5978 0.1955 0.2500  2 Ni 3.03
Ac 0.1391 0.2782 0.9276  2 Ni 3.01
Ac 0.8609 0.7218 0.0724  2 Ni 3.01
Ac 0.8609 0.7218 0.4276  2 Ni 3.01
Ac 0.1391 0.2782 0.5724  2 Ni 3.01
Ni 0.7284 0.4567 0.7500  6 Ac 3.01-3.03
Ni 0.2716 0.5433 0.2500  6 Ac 3.01-3.03

Output
Its density of states at the Fermi level is 5.3 states/eV/f.u.



The most stable of them is x.



w.
# Ac3Ni

An optimized crystal structure of Ac3Ni (PBE, the Alexandria database).

a b c (Å): 6.7309 9.6330 9.6330
angles (deg): 82.99 69.55 69.55
Last column: nearest neighbours and their distance in Å.
Atoms (fractional coordinates):
Ac 0.3492 0.9971 0.7994  2 Ni 3.21-3.26, 1 Ac 3.53
Ac 0.1457 0.0029 0.2006  2 Ni 3.21-3.26, 1 Ac 3.53
Ac 0.8514 0.7994 0.0029  2 Ni 3.21-3.26, 1 Ac 3.53
Ac 0.6537 0.2006 0.9971  2 Ni 3.21-3.26, 1 Ac 3.53
Ac 0.5035 0.3589 0.6341  4 Ni 3.17-3.52, 1 Ac 3.51
Ac 0.4965 0.6411 0.3659  4 Ni 3.17-3.52, 1 Ac 3.51
Ac 0.8624 0.6341 0.6411  4 Ni 3.17-3.52, 1 Ac 3.51
Ac 0.1376 0.3659 0.3589  4 Ni 3.17-3.52, 1 Ac 3.51
Ac 0.9875 0.9956 0.6091  2 Ni 3.11-3.14
Ac 0.5922 0.0044 0.3909  2 Ni 3.11-3.14
Ac 0.4033 0.6091 0.0044  2 Ni 3.11-3.14
Ac 0.0169 0.3909 0.9956  2 Ni 3.11-3.14
Ni 0.0107 0.2888 0.7032  7 Ac 3.11-3.44
Ni 0.0028 0.7112 0.2968  7 Ac 3.11-3.44
Ni 0.2860 0.7032 0.7112  7 Ac 3.11-3.44
Ni 0.7004 0.2968 0.2888  7 Ac 3.11-3.44

Output
Its density of states at the Fermi level is 6.4 states/eV/f.u.



x.
# Ac3Ni

An optimized crystal structure of Ac3Ni (PBE, the Alexandria database).

a b c (Å): 3.9394 6.6658 6.7620
angles (deg): 119.53 106.93 90.00
Last column: nearest neighbours and their distance in Å.
Atoms (fractional coordinates):
Ni 0.0000 0.0472 0.0000  6 Ac 2.92-3.05
Ac 0.3173 0.6922 0.6346  2 Ni 3.05
Ac 0.5000 0.3696 0.0000  2 Ni 2.92
Ac 0.6827 0.0576 0.3654  2 Ni 3.05

Output
Its density of states at the Fermi level is 6.0 states/eV/f.u.



The most stable of them is x.